1.
Below is an optimized crystal structure of HfTe2Cl, with properties calculated at the PBE level.

ρ, g cm⁻³: 6.22
Crystal system: trigonal
Energy relative to the lowest polymorph listed for this composition, meV/atom: 0
Raw formation energy, eV per atom: -0.612
Size of the total moment, μB/atom: 0.0000

Cell: 4.0254 4.0254 26.7563 Å, 90.00 90.00 120.00°
Space group R-3m (No. 166, hexagonal axes)
Unique sites:
Hf 0.0000 0.0000 0.0000 x3
Te 0.0000 0.0000 0.3975 x6
Cl 0.0000 0.0000 0.5000 x3



2.
Below is an optimized crystal structure of Nd6Dy3Ho2Tl, with properties calculated at the PBE level.

ρ, g cm⁻³: 8.04
Formation energy from the elements, eV per atom: -0.01
Crystal system: monoclinic
Size of the total moment, μB/atom: 0.0000

Cell: 6.210 10.794 11.817 Å, 90.00 100.28 90.00°
Space group C2/m (No. 12)
Unique sites:
Nd 0.246 0.000 0.250 x4
Nd 0.246 0.164 0.748 x8
Dy 0.000 0.168 0.000 x4
Dy 0.000 0.500 0.000 x2
Ho 0.000 0.334 0.500 x4
Tl 0.000 0.000 0.500 x2



3.
Below is an optimized crystal structure of Cs3In4I8, with properties calculated at the PBE level.

ρ, g cm⁻³: 3.86
Crystal system: monoclinic
Raw formation energy, eV per atom: -0.850
Size of the total moment, μB/atom: 0.0000

Cell: 14.775 14.773 10.216 Å, 90.00 133.70 90.00°
Space group C2/m (No. 12)
Unique sites:
Cs 0.000 0.000 0.000 x2
Cs 0.250 0.250 0.500 x4
In 0.000 0.500 0.000 x2
In 0.000 0.500 0.500 x2
In 0.250 0.250 0.000 x4
I 0.000 0.260 0.000 x4
I 0.000 0.282 0.500 x4
I 0.205 0.500 0.480 x4
I 0.212 0.500 0.941 x4



4.
Below is an optimized crystal structure of KRh, with properties calculated at the PBE level.

ρ, g cm⁻³: 3.87
Formation energy from the elements, eV per atom: 0.42
Crystal system: monoclinic
Energy relative to the lowest polymorph listed for this composition, meV/atom: 54
Size of the total moment, μB/atom: 0.0000

Cell: 8.545 2.971 9.616 Å, 90.00 93.63 90.00°
Space group C2/m (No. 12)
Unique sites:
K 0.114 0.000 0.277 x4
Rh 0.133 0.500 0.967 x4



5.
Below is an optimized crystal structure of Pa2Ga3Au, with properties calculated at the PBE level.

ρ, g cm⁻³: 11.79
Formation energy from the elements, eV per atom: -0.36
Crystal system: orthorhombic
Size of the total moment, μB/atom: 0.0929

Cell: 6.539 9.282 16.112 Å, 90.00 90.00 90.00°
Space group Fmmm (No. 69)
Unique sites:
Pa 0.243 0.000 0.000 x8
Pa 0.250 0.250 0.250 x8
Ga 0.000 0.000 0.335 x8
Ga 0.000 0.247 0.417 x16
Au 0.000 0.000 0.167 x8



6.
Below is an optimized crystal structure of ThAgAu3, with properties calculated at the PBE level.

ρ, g cm⁻³: 14.51
Formation energy from the elements, eV per atom: -0.37
Crystal system: monoclinic
Size of the total moment, μB/atom: 0.0000

Cell: 13.565 5.238 5.999 Å, 90.00 91.00 90.00°
Space group C2/m (No. 12)
Unique sites:
Th 0.102 0.000 0.262 x4
Ag 0.187 0.500 0.992 x4
Au 0.009 0.500 0.750 x4
Au 0.131 0.000 0.765 x4
Au 0.188 0.500 0.490 x4



7.
Below is an optimized crystal structure of Tm3Si4Ru2, with properties calculated at the PBE level.

ρ, g cm⁻³: 8.32
Crystal system: monoclinic
Raw formation energy, eV per atom: -0.849
Size of the total moment, μB/atom: 0.0000

Cell: 10.470 4.170 7.940 Å, 90.00 108.89 90.00°
Space group C2/m (No. 12)
Unique sites:
Tm 0.000 0.000 0.000 x2
Tm 0.119 0.500 0.697 x4
Si 0.097 0.000 0.411 x4
Si 0.221 0.500 0.077 x4
Ru 0.181 0.500 0.356 x4